A relaxed structure of ReSi2Au, computed with PBE.

Computed properties:
The distance to the lowest polymorph of the same formula comes out at 119.2 meV per atom. The value obtained for the density of states at the Fermi level is 2.2 states/eV/f.u. The formation energy from raw total energies is 38.7 kJ/mol of formula units.

Geometry as POSCAR:
```
ReSi2Au
1.0
-4.069 1.850 0.839
-1.039 -1.092 -2.632
-1.237 -3.626 1.993
Si Re Au
2 1 1
direct
0.000 0.875 0.012
0.500 0.375 0.227
0.500 0.875 0.760
0.000 0.375 0.501
```